# 1
The following is a PBE calculation of a relaxed structure of Nd2Sm2Pd3, from Alexandria via LeMat-Bulk.

Final energy = -5.502 eV/atom
Size of the total moment = 0.00 μB per cell

abc: 4.2081 7.0854 7.2580
angles: 99.13 90.03 107.21
Space group P-1 (No. 2)
Unique sites:
Nd 0.1280 0.2542 0.3704
Sm 0.3716 0.7430 0.1104
Pd 0.0000 0.0000 0.0000
Pd 0.2461 0.4935 0.7443

---

# 2
The following is a PBE calculation of a relaxed structure of NdSm2Pd9, from Alexandria via LeMat-Bulk.

Final energy = -5.868 eV/atom
Size of the total moment = 0.00 μB per cell

abc: 4.1856 4.1856 12.5446
angles: 90.00 90.00 90.00
Space group P4/mmm (No. 123)
Unique sites:
Nd 0.0000 0.0000 0.0000
Sm 0.0000 0.0000 0.3344
Pd 0.0000 0.5000 0.1685
Pd 0.0000 0.5000 0.5000
Pd 0.5000 0.5000 0.0000
Pd 0.5000 0.5000 0.3339

---

# 3
The following is a PBE calculation of a relaxed structure of Nd2SmPd2, from Alexandria via LeMat-Bulk.

Energy relative to the lowest polymorph listed for this composition = 0.000 eV/atom
Size of the total moment = 0.00 μB per cell

abc: 8.0450 8.0450 4.0230
angles: 90.00 90.00 90.00
Space group P4/mbm (No. 127)
Unique sites:
Nd 0.1678 0.3322 0.0000
Sm 0.0000 0.0000 0.5000
Pd 0.1276 0.6276 0.5000